No. 1
An optimized crystal structure of TiAl2Tc2. Source: Alexandria, functional PBE.

Computed properties:
Relative energy among the computed polymorphs (meV per atom): 49.2

abc: 6.874 6.874 3.164
angles: 90.00 90.00 90.00
Space group P4/mbm (No. 127)
Symmetry-distinct sites (fractional):
1 Ti 0.000 0.000 0.000 x2
2 Al 0.130 0.370 0.000 x4
3 Tc 0.169 0.669 0.500 x4

***

No. 2
An optimized crystal structure of TiAl3Tc. Source: Alexandria, functional PBE.

Computed properties:
Relative energy among the computed polymorphs (meV per atom): 644.8

abc: 4.622 4.622 4.622
angles: 90.00 90.00 90.00
Space group Pm-3m (No. 221)
Symmetry-distinct sites (fractional):
1 Ti 0.000 0.000 0.000 x1
2 Al 0.000 0.500 0.500 x3
3 Tc 0.500 0.500 0.500 x1

***

No. 3
An optimized crystal structure of TiAlTc2. Source: Alexandria, functional PBE.

Computed properties:
Energy (eV/atom): -7.686

abc: 2.679 4.673 10.342
angles: 90.00 90.00 90.00
Space group Immm (No. 71)
Symmetry-distinct sites (fractional):
1 Ti 0.000 0.000 0.000 x2
2 Al 0.000 0.000 0.500 x2
3 Tc 0.000 0.000 0.273 x4

***

No. 4
An optimized crystal structure of TiAlTc4. Source: Alexandria, functional PBE.

Computed properties:
Energy (eV/atom): -9.280

abc: 4.269 9.567 4.270
angles: 90.00 90.00 90.00
Space group Cmmm (No. 65)
Symmetry-distinct sites (fractional):
1 Ti 0.000 0.000 0.000 x2
2 Al 0.000 0.500 0.500 x2
3 Tc 0.000 0.170 0.500 x4
4 Tc 0.000 0.331 0.000 x4

***

No. 5
An optimized crystal structure of Ti2AlTc3. Source: Alexandria, functional PBE.

Computed properties:
Energy (eV/atom): -8.852

abc: 3.118 3.118 9.104
angles: 90.00 90.00 90.00
Space group P4/mmm (No. 123)
Symmetry-distinct sites (fractional):
1 Ti 0.000 0.000 0.170 x2
2 Al 0.000 0.000 0.500 x1
3 Tc 0.500 0.500 0.000 x1
4 Tc 0.500 0.500 0.338 x2

***

No. 6
An optimized crystal structure of Ti2Al6Tc. Source: Alexandria, functional PBE.

Computed properties:
Energy (eV/atom): -5.666

abc: 6.332 11.757 4.079
angles: 90.00 90.00 90.00
Space group Cmmm (No. 65)
Symmetry-distinct sites (fractional):
1 Ti 0.000 0.218 0.000 x4
2 Al 0.208 0.355 0.500 x8
3 Al 0.236 0.000 0.000 x4
4 Tc 0.000 0.000 0.500 x2

***

No. 7
An optimized crystal structure of Ti3Al3Tc2. Source: Alexandria, functional PBE.

Computed properties:
Energy (eV/atom): -7.267

abc: 6.9420 6.9420 3.1269
angles: 90.00 90.00 120.00
Space group P-62m (No. 189)
Symmetry-distinct sites (fractional):
1 Ti 0.0000 0.4165 0.0000 x3
2 Al 0.0000 0.7662 0.5000 x3
3 Tc 0.3333 0.6667 0.5000 x2

***

No. 8
An optimized crystal structure of Ti4AlTc5. Source: Alexandria, functional PBE.

Computed properties:
Energy (eV/atom): -9.155

abc: 3.114 3.114 15.296
angles: 90.00 90.00 90.00
Space group P4/mmm (No. 123)
Symmetry-distinct sites (fractional):
1 Ti 0.000 0.000 0.101 x2
2 Ti 0.000 0.000 0.303 x2
3 Al 0.000 0.000 0.500 x1
4 Tc 0.500 0.500 0.000 x1
5 Tc 0.500 0.500 0.202 x2
6 Tc 0.500 0.500 0.403 x2

***

No. 9
An optimized crystal structure of TiAl4Tc. Source: Alexandria, functional PBE.

Computed properties:
Relative energy among the computed polymorphs (meV per atom): 0.0

abc: 6.875 11.806 5.097
angles: 90.00 112.56 90.00
Space group C2/c (No. 15)
Symmetry-distinct sites (fractional):
1 Ti 0.000 0.084 0.250 x4
2 Al 0.106 0.308 0.543 x8
3 Al 0.204 0.118 0.860 x8
4 Tc 0.000 0.499 0.750 x4

***

No. 10
An optimized crystal structure of Ti5AlTc6. Source: Alexandria, functional PBE.

Computed properties:
Energy (eV/atom): -9.239

abc: 4.368 6.232 6.906
angles: 90.00 108.56 90.00
Space group P2/m (No. 10)
Symmetry-distinct sites (fractional):
1 Ti 0.000 0.000 0.000 x1
2 Ti 0.334 0.000 0.668 x2
3 Ti 0.337 0.500 0.674 x2
4 Al 0.000 0.500 0.000 x1
5 Tc 0.167 0.250 0.335 x4
6 Tc 0.500 0.246 0.000 x2

***

No. 11
An optimized crystal structure of Ti5Al4Tc. Source: Alexandria, functional PBE.

Computed properties:
Energy (eV/atom): -6.860

abc: 3.042 3.042 17.472
angles: 90.00 90.00 90.00
Space group P4/mmm (No. 123)
Symmetry-distinct sites (fractional):
1 Ti 0.000 0.000 0.000 x1
2 Ti 0.000 0.000 0.212 x2
3 Ti 0.000 0.000 0.415 x2
4 Al 0.500 0.500 0.106 x2
5 Al 0.500 0.500 0.313 x2
6 Tc 0.500 0.500 0.500 x1

***

No. 12
An optimized crystal structure of Ti2Al2Tc. Source: Alexandria, functional PBE.

Computed properties:
Energy (eV/atom): -7.031

abc: 6.733 6.733 3.483
angles: 90.00 90.00 90.00
Space group P4/mbm (No. 127)
Symmetry-distinct sites (fractional):
1 Ti 0.171 0.329 0.000 x4
2 Al 0.132 0.632 0.500 x4
3 Tc 0.000 0.000 0.500 x2

***

No. 13
An optimized crystal structure of Ti6Al2Tc. Source: Alexandria, functional PBE.

Computed properties:
Energy (eV/atom): -7.043

abc: 4.406 6.110 12.859
angles: 90.00 90.00 90.00
Space group Immm (No. 71)
Symmetry-distinct sites (fractional):
1 Ti 0.000 0.243 0.000 x4
2 Ti 0.000 0.252 0.344 x8
3 Al 0.000 0.500 0.172 x4
4 Tc 0.000 0.500 0.500 x2

***

No. 14
An optimized crystal structure of Ti5AlTc4. Source: Alexandria, functional PBE.

Computed properties:
Energy (eV/atom): -8.977

abc: 3.145 3.145 15.406
angles: 90.00 90.00 90.00
Space group P4/mmm (No. 123)
Symmetry-distinct sites (fractional):
1 Ti 0.000 0.000 0.000 x1
2 Ti 0.000 0.000 0.199 x2
3 Ti 0.000 0.000 0.392 x2
4 Al 0.500 0.500 0.500 x1
5 Tc 0.500 0.500 0.101 x2
6 Tc 0.500 0.500 0.303 x2

***

No. 15
An optimized crystal structure of Ti4AlTc3. Source: Alexandria, functional PBE.

Computed properties:
Energy (eV/atom): -8.819

abc: 3.180 4.390 8.715
angles: 90.00 90.00 90.00
Space group Pmmm (No. 47)
Symmetry-distinct sites (fractional):
1 Ti 0.000 0.000 0.000 x1
2 Ti 0.000 0.000 0.500 x1
3 Ti 0.000 0.500 0.239 x2
4 Al 0.500 0.500 0.500 x1
5 Tc 0.500 0.000 0.257 x2
6 Tc 0.500 0.500 0.000 x1

***

No. 16
An optimized crystal structure of TiAl3Tc. Source: Alexandria, functional PBE.

Computed properties:
Relative energy among the computed polymorphs (meV per atom): 0.0

abc: 4.772 5.172 6.746
angles: 90.00 108.34 90.00
Space group P2_1/m (No. 11)
Symmetry-distinct sites (fractional):
1 Ti 0.125 0.250 0.030 x2
2 Al 0.195 0.501 0.395 x4
3 Al 0.479 0.750 0.170 x2
4 Tc 0.311 0.750 0.752 x2

***

No. 17
An optimized crystal structure of Ti3AlTc2. Source: Alexandria, functional PBE.

Computed properties:
Energy (eV/atom): -8.561

abc: 3.170 3.170 9.199
angles: 90.00 90.00 90.00
Space group P4/mmm (No. 123)
Symmetry-distinct sites (fractional):
1 Ti 0.000 0.000 0.000 x1
2 Ti 0.000 0.000 0.321 x2
3 Al 0.500 0.500 0.500 x1
4 Tc 0.500 0.500 0.171 x2

***

No. 18
An optimized crystal structure of Ti2AlTc. Source: Alexandria, functional PBE.

Computed properties:
Energy (eV/atom): -7.998

abc: 3.187 3.187 6.132
angles: 90.00 90.00 90.00
Space group P4/mmm (No. 123)
Symmetry-distinct sites (fractional):
1 Ti 0.000 0.000 0.234 x2
2 Al 0.500 0.500 0.500 x1
3 Tc 0.500 0.500 0.000 x1

***

No. 19
An optimized crystal structure of Ti2AlTc. Source: Alexandria, functional PBE.

Computed properties:
Energy (eV/atom): -7.374

abc: 7.170 7.170 5.291
angles: 90.00 90.00 90.00
Space group I-42d (No. 122)
Symmetry-distinct sites (fractional):
1 Ti 0.212 0.250 0.125 x8
2 Al 0.000 0.000 0.500 x4
3 Tc 0.000 0.000 0.000 x4

***

No. 20
An optimized crystal structure of Ti4Al2Tc. Source: Alexandria, functional PBE.

Computed properties:
Relative energy among the computed polymorphs (meV per atom): 59.4

abc: 4.572 4.572 13.774
angles: 90.00 90.00 90.00
Space group I4/mmm (No. 139)
Symmetry-distinct sites (fractional):
1 Ti 0.000 0.000 0.179 x4
2 Ti 0.000 0.500 0.000 x4
3 Al 0.000 0.000 0.373 x4
4 Tc 0.000 0.000 0.000 x2

***

Number 1: density of states at the Fermi level 0.56 states/eV/atom. Number 2: density of states at the Fermi level 0.68 states/eV/atom. Number 3: density of states at the Fermi level 1.01 states/eV/atom. Number 4: density of states at the Fermi level 0.36 states/eV/atom. Number 5: density of states at the Fermi level 1.16 states/eV/atom. Number 6: density of states at the Fermi level 0.73 states/eV/atom. Number 7: density of states at the Fermi level 0.73 states/eV/atom. Number 8: density of states at the Fermi level 1.13 states/eV/atom. Number 9: density of states at the Fermi level 0.51 states/eV/atom. Number 10: density of states at the Fermi level 1.03 states/eV/atom. Number 11: density of states at the Fermi level 1.08 states/eV/atom. Number 12: density of states at the Fermi level 0.47 states/eV/atom. Number 13: density of states at the Fermi level 1.28 states/eV/atom. Number 14: density of states at the Fermi level 0.87 states/eV/atom. Number 15: density of states at the Fermi level 0.92 states/eV/atom. Number 16: density of states at the Fermi level 0.68 states/eV/atom. Number 17: density of states at the Fermi level 0.56 states/eV/atom. Number 18: density of states at the Fermi level 0.35 states/eV/atom. Number 19: density of states at the Fermi level 0.34 states/eV/atom. Number 20: density of states at the Fermi level 1.27 states/eV/atom.